Record 1
# Tb6Pr3Tm2

An optimized crystal structure of Tb6Pr3Tm2 (PBE, Alexandria).

Structure (CIF):
```
data_Tb6Pr3Tm2
_chemical_formula_sum 'Tb18 Pr9 Tm6'
_cell_length_a 3.5925
_cell_length_b 3.5925
_cell_length_c 96.3673
_cell_angle_alpha 90.00
_cell_angle_beta 90.00
_cell_angle_gamma 120.00
_symmetry_space_group_name_H-M 'R -3 m'
_symmetry_Int_Tables_number 166
_symmetry_space_group_name_Hall '-R 3 2"'
loop_
_atom_site_label
_atom_site_type_symbol
_atom_site_fract_x
_atom_site_fract_y
_atom_site_fract_z
Tb1 Tb 0.0000 0.0000 0.0926
Tb2 Tb 0.0000 0.0000 0.1817
Tb3 Tb 0.0000 0.0000 0.3641
Pr1 Pr 0.0000 0.0000 0.0000
Pr2 Pr 0.0000 0.0000 0.2718
Tm1 Tm 0.0000 0.0000 0.4554
```

Summary:
The calculated volume is 1077.07 Å³ per cell. The formation energy is 20 meV/atom. The density comes out at 7.93 g/cm3. Its crystal system is trigonal. The offset from the most stable computed form is 0 meV per atom.

=====

Record 2
# Ni2HgMo

An optimized crystal structure of Ni2HgMo (PBE, Alexandria).

Structure (CIF):
```
data_Ni2HgMo
_chemical_formula_sum 'Ni2 Hg1 Mo1'
_cell_length_a 2.891
_cell_length_b 4.336
_cell_length_c 4.769
_cell_angle_alpha 90.00
_cell_angle_beta 90.00
_cell_angle_gamma 90.00
_symmetry_space_group_name_H-M 'P m m m'
_symmetry_Int_Tables_number 47
_symmetry_space_group_name_Hall '-P 2 2'
loop_
_atom_site_label
_atom_site_type_symbol
_atom_site_fract_x
_atom_site_fract_y
_atom_site_fract_z
Ni1 Ni 0.000 0.000 0.000
Ni2 Ni 0.500 0.000 0.500
Hg1 Hg 0.000 0.500 0.500
Mo1 Mo 0.500 0.500 0.000
```

Summary:
The calculated volume is 59.77 Å³ per cell. The formation energy is 552 meV/atom. The density comes out at 11.50 g/cm3. Its crystal system is orthorhombic.

=====

Record 3
# Sc2Ga2Co5Ge

An optimized crystal structure of Sc2Ga2Co5Ge (PBE, Alexandria).

Structure (CIF):
```
data_Sc2Ga2Co5Ge
_chemical_formula_sum 'Sc4 Ga4 Co10 Ge2'
_cell_length_a 9.160
_cell_length_b 9.160
_cell_length_c 3.277
_cell_angle_alpha 90.00
_cell_angle_beta 90.00
_cell_angle_gamma 90.00
_symmetry_space_group_name_H-M 'P 4/m b m'
_symmetry_Int_Tables_number 127
_symmetry_space_group_name_Hall '-P 4 2ab'
loop_
_atom_site_label
_atom_site_type_symbol
_atom_site_fract_x
_atom_site_fract_y
_atom_site_fract_z
Sc1 Sc 0.171 0.329 0.000
Ga1 Ga 0.127 0.627 0.000
Co1 Co 0.000 0.500 0.500
Co2 Co 0.063 0.803 0.500
Ge1 Ge 0.000 0.000 0.000
```

Summary:
The calculated volume is 274.95 Å³ per cell. The formation energy is -303 meV/atom. The density comes out at 7.21 g/cm3. Its crystal system is tetragonal.